Record 1
Here is a geometry-optimized NaNi3Te3 structure from Alexandria. Energies are from PBE.

Lattice parameters (Å, degrees): 4.3949 8.8558 8.8558 120.00 90.00 90.00
Last column: nearest neighbours and their distance in Å.
Positions (direct):
Te 0.7500 0.7046 0.0672  4 Ni 2.55-2.60
Ni 0.2500 0.8438 0.0371  4 Te 2.55-2.60, 6 Ni 2.70-2.73
Ni 0.7500 0.0371 0.1933  4 Te 2.55-2.60, 6 Ni 2.70-2.73
Na 0.7500 0.3333 0.6667  9 Te 3.36-3.42, 3 Ni 3.67
Ni 0.2500 0.1933 0.1562  4 Te 2.55-2.60, 6 Ni 2.70-2.73
Ni 0.7500 0.1562 0.9629  4 Te 2.55-2.60, 6 Ni 2.70-2.73
Te 0.2500 0.0672 0.3626  4 Ni 2.55-2.60
Te 0.2500 0.2954 0.9328  4 Ni 2.55-2.60
Na 0.2500 0.6667 0.3333  9 Te 3.36-3.42, 3 Ni 3.67
Te 0.7500 0.3626 0.2954  4 Ni 2.55-2.60
Ni 0.2500 0.9629 0.8067  4 Te 2.55-2.60, 6 Ni 2.70-2.73
Te 0.7500 0.9328 0.6374  4 Ni 2.55-2.60
Te 0.2500 0.6374 0.7046  4 Ni 2.55-2.60
Ni 0.7500 0.8067 0.8438  4 Te 2.55-2.60, 6 Ni 2.70-2.73

Computed properties:
- E_form (uncorrected) (eV per formula unit) = -1.93
- VASP energy (eV/f.u.) = -30.0

=====

Record 2
Here is a geometry-optimized Na2NiTe structure from Alexandria. Energies are from PBE.

Lattice parameters (Å, degrees): 4.0966 4.0966 10.8539 79.12 79.12 90.00
Last column: nearest neighbours and their distance in Å.
Positions (direct):
Ni 0.2500 0.7500 0.5000  4 Te 2.90, 4 Na 2.97
Na 0.6138 0.1250 0.2500  4 Na 2.83-2.96, 2 Ni 2.97, 2 Te 3.01
Na 0.3750 0.3862 0.7500  4 Na 2.83-2.96, 2 Ni 2.97, 2 Te 3.01
Ni 0.5000 0.5000 0.0000  4 Te 2.90, 4 Na 2.97
Te 0.0000 0.0000 0.0000  4 Ni 2.90, 4 Na 3.01
Te 0.7500 0.2500 0.5000  4 Ni 2.90, 4 Na 3.01
Na 0.1362 0.6250 0.2500  4 Na 2.83-2.96, 2 Ni 2.97, 2 Te 3.01
Na 0.8750 0.8638 0.7500  4 Na 2.83-2.96, 2 Ni 2.97, 2 Te 3.01

Computed properties:
- E_form (uncorrected) (eV per formula unit) = 0.35
- VASP energy (eV/f.u.) = -11.2

=====

Record 3
Here is a geometry-optimized Na2NiTe2 structure from Alexandria. Energies are from PBE.

Lattice parameters (Å, degrees): 7.1067 7.1067 4.9683 90.00 90.00 90.00
Last column: nearest neighbours and their distance in Å.
Positions (direct):
Na 0.3447 0.1553 0.5000  6 Te 3.04-3.39, 1 Na 3.12
Te 0.1696 0.3304 0.0000  2 Ni 2.64
Te 0.6696 0.1696 0.0000  2 Ni 2.64
Na 0.8447 0.3447 0.5000  6 Te 3.04-3.39, 1 Na 3.12
Na 0.6553 0.8447 0.5000  6 Te 3.04-3.39, 1 Na 3.12
Te 0.8304 0.6696 0.0000  2 Ni 2.64
Ni 0.0000 0.0000 0.0000  4 Te 2.64
Te 0.3304 0.8304 0.0000  2 Ni 2.64
Na 0.1553 0.6553 0.5000  6 Te 3.04-3.39, 1 Na 3.12
Ni 0.5000 0.5000 0.0000  4 Te 2.64

Computed properties:
- E_form (uncorrected) (eV per formula unit) = -1.99
- VASP energy (eV/f.u.) = -16.7

=====

Record 4
Here is a geometry-optimized NaNi3Te structure from Alexandria. Energies are from PBE.

Lattice parameters (Å, degrees): 4.7233 4.7233 4.7233 90.00 90.00 90.00
Last column: nearest neighbours and their distance in Å.
Positions (direct):
Ni 0.0000 0.5000 0.0000  2 Te 2.36
Na 0.5000 0.5000 0.5000  12 Ni 3.34
Ni 0.5000 0.0000 0.0000  2 Te 2.36
Te 0.0000 0.0000 0.0000  6 Ni 2.36
Ni 0.0000 0.0000 0.5000  2 Te 2.36

Computed properties:
- E_form (uncorrected) (eV per formula unit) = 2.42
- VASP energy (eV/f.u.) = -19.4
- energy above the most stable polymorph in this dataset (meV per atom) = 0

=====

Record 5
Here is a geometry-optimized NaNiTe3 structure from Alexandria. Energies are from PBE.

Lattice parameters (Å, degrees): 5.3615 5.3615 5.3615 90.00 90.00 90.00
Last column: nearest neighbours and their distance in Å.
Positions (direct):
Ni 0.5000 0.5000 0.5000  12 Te 3.79
Te 0.0000 0.0000 0.5000  2 Na 2.68
Na 0.0000 0.0000 0.0000  6 Te 2.68
Te 0.0000 0.5000 0.0000  2 Na 2.68
Te 0.5000 0.0000 0.0000  2 Na 2.68

Computed properties:
- E_form (uncorrected) (eV per formula unit) = 5.41
- VASP energy (eV/f.u.) = -11.1
- energy above the most stable polymorph in this dataset (meV per atom) = 1143

=====

Record 6
Here is a geometry-optimized Na2Ni2Te structure from Alexandria. Energies are from PBE.

Lattice parameters (Å, degrees): 6.4463 6.4463 4.7992 90.00 90.00 90.00
Last column: nearest neighbours and their distance in Å.
Positions (direct):
Na 0.1718 0.6718 0.5000  6 Ni 2.99-3.11, 1 Na 3.13
Ni 0.6319 0.1319 0.0000  1 Ni 2.41, 2 Te 2.52
Te 0.5000 0.5000 0.0000  4 Ni 2.52
Na 0.6718 0.8282 0.5000  6 Ni 2.99-3.11, 1 Na 3.13
Ni 0.3681 0.8681 0.0000  1 Ni 2.41, 2 Te 2.52
Ni 0.1319 0.3681 0.0000  1 Ni 2.41, 2 Te 2.52
Na 0.3282 0.1718 0.5000  6 Ni 2.99-3.11, 1 Na 3.13
Te 0.0000 0.0000 0.0000  4 Ni 2.52
Na 0.8282 0.3282 0.5000  6 Ni 2.99-3.11, 1 Na 3.13
Ni 0.8681 0.6319 0.0000  1 Ni 2.41, 2 Te 2.52

Computed properties:
- E_form (uncorrected) (eV per formula unit) = 0.04
- VASP energy (eV/f.u.) = -17.3
- energy above the most stable polymorph in this dataset (meV per atom) = 0

=====

Record 7
Here is a geometry-optimized NaNi2Te2 structure from Alexandria. Energies are from PBE.

Lattice parameters (Å, degrees): 6.5613 6.5613 6.3839 105.68 105.68 108.47
Last column: nearest neighbours and their distance in Å.
Positions (direct):
Ni 0.4940 0.7822 0.9751  4 Te 2.51-2.61, 2 Ni 2.67-2.76
Ni 0.2178 0.5060 0.5249  4 Te 2.51-2.61, 2 Ni 2.67-2.76
Na 0.1397 0.8603 0.2500  4 Te 3.15-3.24, 2 Ni 3.35
Ni 0.7822 0.4940 0.4751  4 Te 2.51-2.61, 2 Ni 2.67-2.76
Te 0.5560 0.4440 0.7500  4 Ni 2.51-2.61
Na 0.8603 0.1397 0.7500  4 Te 3.15-3.24, 2 Ni 3.35
Ni 0.5060 0.2178 0.0249  4 Te 2.51-2.61, 2 Ni 2.67-2.76
Te 0.8435 0.1565 0.2500  4 Ni 2.51
Te 0.4440 0.5560 0.2500  4 Ni 2.51-2.61
Te 0.1565 0.8435 0.7500  4 Ni 2.51

Computed properties:
- E_form (uncorrected) (eV per formula unit) = -1.37
- VASP energy (eV/f.u.) = -20.5
- energy above the most stable polymorph in this dataset (meV per atom) = 42

=====

Record 8
Here is a geometry-optimized Na2Ni2Te structure from Alexandria. Energies are from PBE.

Lattice parameters (Å, degrees): 7.8398 7.8398 3.0652 90.00 90.00 90.00
Last column: nearest neighbours and their distance in Å.
Positions (direct):
Ni 0.6827 0.8173 0.5000  6 Na 2.67-2.87
Na 0.1199 0.3801 0.0000  1 Na 2.66, 6 Ni 2.67-2.87
Na 0.3801 0.8801 0.0000  1 Na 2.66, 6 Ni 2.67-2.87
Ni 0.3173 0.1827 0.5000  6 Na 2.67-2.87
Ni 0.1827 0.6827 0.5000  6 Na 2.67-2.87
Na 0.8801 0.6199 0.0000  1 Na 2.66, 6 Ni 2.67-2.87
Te 0.5000 0.5000 0.0000  2 Te 3.07, 4 Na 3.12, 8 Ni 3.25
Na 0.6199 0.1199 0.0000  1 Na 2.66, 6 Ni 2.67-2.87
Te 0.0000 0.0000 0.0000  2 Te 3.07, 4 Na 3.12, 8 Ni 3.25
Ni 0.8173 0.3173 0.5000  6 Na 2.67-2.87

Computed properties:
- E_form (uncorrected) (eV per formula unit) = 2.85
- VASP energy (eV/f.u.) = -14.5
- energy above the most stable polymorph in this dataset (meV per atom) = 563

=====

Record 9
Here is a geometry-optimized NaNi2Te2 structure from Alexandria. Energies are from PBE.

Lattice parameters (Å, degrees): 3.9658 3.9658 7.5964 74.87 74.87 90.00
Last column: nearest neighbours and their distance in Å.
Positions (direct):
Na 0.0000 0.0000 0.0000  8 Te 3.42
Te 0.6385 0.6385 0.7231  4 Ni 2.53
Ni 0.2500 0.7500 0.5000  4 Te 2.53, 4 Ni 2.80
Ni 0.7500 0.2500 0.5000  4 Te 2.53, 4 Ni 2.80
Te 0.3615 0.3615 0.2769  4 Ni 2.53

Computed properties:
- E_form (uncorrected) (eV per formula unit) = -1.58
- VASP energy (eV/f.u.) = -20.7
- energy above the most stable polymorph in this dataset (meV per atom) = 0

=====

Record 10
Here is a geometry-optimized NaNi2Te2 structure from Alexandria. Energies are from PBE.

Lattice parameters (Å, degrees): 4.9082 4.9082 5.6291 64.15 64.15 90.00
Last column: nearest neighbours and their distance in Å.
Positions (direct):
Te 0.7500 0.2500 0.5000  4 Ni 2.61
Na 0.0000 0.0000 0.0000  2 Ni 3.10, 8 Te 3.31
Ni 0.6508 0.6508 0.6984  4 Te 2.61, 1 Ni 2.67
Ni 0.3492 0.3492 0.3016  4 Te 2.61, 1 Ni 2.67
Te 0.2500 0.7500 0.5000  4 Ni 2.61

Computed properties:
- E_form (uncorrected) (eV per formula unit) = -0.65
- VASP energy (eV/f.u.) = -19.8
- energy above the most stable polymorph in this dataset (meV per atom) = 186